(1)
A plane-wave DFT calculation with GGA-PBE was carried out for V2GeAu after structural relaxation.

Properties
The value obtained for the formation energy is 1.1 eV/f.u. The total DFT energy (no corrections) comes out at -6.27 eV/atom.

a = 6.977 Å, b = 6.977 Å, c = 5.342 Å
α = 90.00°, β = 90.00°, γ = 90.00°
Space group I-42d (No. 122)
One atom of each set of equivalent atoms:
V 0.236 0.250 0.125 [8 per cell]
Ge 0.000 0.000 0.000 [4 per cell]
Au 0.000 0.000 0.500 [4 per cell]

=====

(2)
A plane-wave DFT calculation with GGA-PBE was carried out for V12GeAu3 after structural relaxation.

Properties
The value obtained for the formation energy is -1.7 eV/f.u. The total DFT energy (no corrections) comes out at -7.85 eV/atom.

a = 4.843 Å, b = 4.853 Å, c = 9.682 Å
α = 90.00°, β = 90.00°, γ = 90.00°
Space group Pmmm (No. 47)
One atom of each set of equivalent atoms:
V 0.000 0.000 0.122 [2 per cell]
V 0.000 0.000 0.374 [2 per cell]
V 0.248 0.500 0.000 [2 per cell]
V 0.257 0.500 0.500 [2 per cell]
V 0.500 0.248 0.258 [4 per cell]
Ge 0.500 0.000 0.500 [1 per cell]
Au 0.000 0.500 0.249 [2 per cell]
Au 0.500 0.000 0.000 [1 per cell]